[1]
A plane-wave DFT calculation with GGA-PBE was carried out for crystalline SmRh3 at its relaxed geometry.

Properties
Density of states at the Fermi level   8.755 states/eV per cell
M_tot   0.00 μB/atom

a = 5.299 Å, b = 4.310 Å, c = 6.362 Å
α = 90.00°, β = 90.00°, γ = 90.00°
Atoms (fractional coordinates):
1 Sm 0.250 0.000 0.192
2 Sm 0.750 0.000 0.808
3 Rh 0.000 0.500 0.500
4 Rh 0.250 0.000 0.646
5 Rh 0.250 0.500 0.878
6 Rh 0.500 0.500 0.500
7 Rh 0.750 0.000 0.354
8 Rh 0.750 0.500 0.122

[2]
A plane-wave DFT calculation with GGA-PBE was carried out for crystalline AlPt3Pb at its relaxed geometry.

Properties
ΔE to the lowest computed polymorph   5.46 eV/f.u.
Density of states at the Fermi level   5.541 states/eV per cell
M_tot   0.00 μB/atom

a = 5.063 Å, b = 5.063 Å, c = 5.063 Å
α = 90.00°, β = 90.00°, γ = 90.00°
Atoms (fractional coordinates):
1 Al 0.000 0.000 0.000
2 Pt 0.000 0.500 0.500
3 Pt 0.500 0.000 0.500
4 Pt 0.500 0.500 0.000
5 Pb 0.500 0.500 0.500

[3]
A plane-wave DFT calculation with GGA-PBE was carried out for crystalline TeAsI3 at its relaxed geometry.

Properties
ΔE to the lowest computed polymorph   0.89 eV/f.u.
Density of states at the Fermi level   5.135 states/eV per cell
Uncorrected formation energy   0.524 eV per atom
M_tot   0.51 μB/atom

a = 6.060 Å, b = 6.060 Å, c = 6.060 Å
α = 90.00°, β = 90.00°, γ = 90.00°
Atoms (fractional coordinates):
1 Te 0.000 0.000 0.000
2 As 0.500 0.500 0.500
3 I 0.000 0.000 0.500
4 I 0.000 0.500 0.000
5 I 0.500 0.000 0.000

[4]
A plane-wave DFT calculation with GGA-PBE was carried out for crystalline Zr3U at its relaxed geometry.

Properties
ΔE to the lowest computed polymorph   0.20 eV/f.u.
Density of states at the Fermi level   20.145 states/eV per cell
M_tot   0.50 μB/atom

a = 4.419 Å, b = 4.419 Å, c = 9.447 Å
α = 90.00°, β = 90.00°, γ = 90.00°
Atoms (fractional coordinates):
1 Zr 0.000 0.000 0.000
2 Zr 0.000 0.500 0.250
3 Zr 0.000 0.500 0.750
4 Zr 0.500 0.000 0.250
5 Zr 0.500 0.000 0.750
6 Zr 0.500 0.500 0.500
7 U 0.000 0.000 0.500
8 U 0.500 0.500 0.000

Number 1: total DFT energy (no corrections) -28.29 eV per formula unit. Number 2: total DFT energy (no corrections) -19.73 eV per formula unit. Number 3: total DFT energy (no corrections) -9.82 eV per formula unit. Number 4: total DFT energy (no corrections) -36.00 eV per formula unit.